! Tb3Th2Mg2 | the Alexandria database | GGA-PBE | relaxed; values from VASP
! Space-group type = No. 65
! Crystal system = orthorhombic
! Energy of formation from the pure elements = 0.106 eV/atom
&SYSTEM
  ibrav = 0, nat = 7, ntyp = 3
/
ATOMIC_SPECIES
Tb 158.93 Tb.upf
Th 232.04 Th.upf
Mg 24.30 Mg.upf
CELL_PARAMETERS angstrom
5.309 0.000 0.705
0.000 3.422 0.000
1.113 0.000 11.970
ATOMIC_POSITIONS crystal
Tb 0.858 0.000 0.285
Tb 0.000 0.000 0.000
Tb 0.142 0.000 0.715
Th 0.718 0.500 0.564
Th 0.282 0.500 0.436
Mg 0.569 0.500 0.862
Mg 0.431 0.500 0.138